(1)
## AsHF2 (GGA-PBE)

Data for a relaxed AsHF2 crystal.

Output
total magnetization	0.00	μB per formula unit
DOS at the Fermi energy	0.57	states/eV/f.u.
total DFT energy (no corrections)	-3.5751	eV/atom

Cell lengths 2.8298, 2.8298, 18.0470 Å; angles 90.00, 90.00, 120.00 degrees
With the nearest neighbours (Å) after each atom.
Fractional positions:
As1 0.0000 0.0000 0.0000  2 F 2.05
As2 0.3333 0.6667 0.6667  2 F 2.05
As3 0.6667 0.3333 0.3333  2 F 2.05
H1 0.0000 0.0000 0.5000  6 F 1.89
H2 0.3333 0.6667 0.1667  6 F 1.89
H3 0.6667 0.3333 0.8333  6 F 1.89
F1 0.0000 0.0000 0.1136  3 H 1.89, 1 As 2.05
F2 0.0000 0.0000 0.8864  3 H 1.89, 1 As 2.05
F3 0.3333 0.6667 0.5531  3 H 1.89, 1 As 2.05
F4 0.3333 0.6667 0.7802  3 H 1.89, 1 As 2.05
F5 0.6667 0.3333 0.2198  3 H 1.89, 1 As 2.05
F6 0.6667 0.3333 0.4469  3 H 1.89, 1 As 2.05


(2)
## AsH3F (GGA-PBE)

Data for a relaxed AsH3F crystal.

Output
total magnetization	0.00	μB per formula unit
DOS at the Fermi energy	1.49	states/eV/f.u.
total DFT energy (no corrections)	-2.4755	eV/atom

Cell lengths 3.4358, 3.4358, 3.4358 Å; angles 90.00, 90.00, 90.00 degrees
With the nearest neighbours (Å) after each atom.
Fractional positions:
As1 0.0000 0.0000 0.0000  12 H 2.43
H1 0.0000 0.5000 0.5000  2 F 1.72
H2 0.5000 0.0000 0.5000  2 F 1.72
H3 0.5000 0.5000 0.0000  2 F 1.72
F1 0.5000 0.5000 0.5000  6 H 1.72


(3)
## HgAs2H2F14 (GGA-PBE)

Data for a relaxed HgAs2H2F14 crystal.

Output
total magnetization	0.10	μB per formula unit
DOS at the Fermi energy	0.00	states/eV/f.u.
total DFT energy (no corrections)	-4.1159	eV/atom

Cell lengths 5.0741, 6.9306, 7.9713 Å; angles 86.95, 78.90, 77.55 degrees
With the nearest neighbours (Å) after each atom.
Fractional positions:
Hg1 0.0000 0.0000 0.0000  6 F 2.27-2.43
As1 0.3695 0.2787 0.2660  6 F 1.73-1.83
As2 0.6305 0.7213 0.7340  6 F 1.73-1.83
H1 0.0301 0.3777 0.8268  1 F 1.00
H2 0.9699 0.6223 0.1732  1 F 1.00
F1 0.1001 0.4154 0.1551  1 H 1.45
F2 0.1343 0.2383 0.8171  1 H 1.00
F3 0.1351 0.2853 0.4553  1 As 1.73
F4 0.2738 0.0585 0.2032  1 As 1.82
F5 0.3578 0.8689 0.6536  1 As 1.74
F6 0.4046 0.7364 0.9443  1 As 1.83
F7 0.4557 0.5006 0.3013  1 As 1.74
F8 0.5443 0.4994 0.6987  1 As 1.74
F9 0.5954 0.2636 0.0557  1 As 1.83
F10 0.6422 0.1311 0.3464  1 As 1.74
F11 0.7262 0.9415 0.7968  1 As 1.82
F12 0.8649 0.7147 0.5447  1 As 1.73
F13 0.8657 0.7617 0.1829  1 H 1.00
F14 0.8999 0.5846 0.8449  1 H 1.45


(4)
## InAsH2F (GGA-PBE)

Data for a relaxed InAsH2F crystal.

Output
total magnetization	1.05	μB per formula unit
DOS at the Fermi energy	1.69	states/eV/f.u.
total DFT energy (no corrections)	-2.7773	eV/atom

Cell lengths 4.1684, 4.1684, 4.1219 Å; angles 90.00, 90.00, 90.00 degrees
With the nearest neighbours (Å) after each atom.
Fractional positions:
In1 0.0000 0.0000 0.0000  8 H 2.93, 4 As 2.95
As1 0.5000 0.5000 0.0000  2 F 2.06
H1 0.0000 0.5000 0.5000  2 F 2.08
H2 0.5000 0.0000 0.5000  2 F 2.08
F1 0.5000 0.5000 0.5000  2 As 2.06, 4 H 2.08


(5)
## KAsH2F8 (GGA-PBE)

Data for a relaxed KAsH2F8 crystal.

Output
total magnetization	0.00	μB per formula unit
DOS at the Fermi energy	0.00	states/eV/f.u.
total DFT energy (no corrections)	-4.4093	eV/atom

Cell lengths 5.1274, 5.1304, 7.5779 Å; angles 80.85, 81.66, 64.95 degrees
With the nearest neighbours (Å) after each atom.
Fractional positions:
K1 0.0000 0.0000 0.0000  6 F 2.81-2.91
As1 0.0000 0.0000 0.5000  6 F 1.77-1.79
H1 0.2791 0.2937 0.2304  1 F 0.97
H2 0.7209 0.7063 0.7696  1 F 0.97
F1 0.2046 0.2144 0.4424  1 H 1.62, 1 As 1.79
F2 0.2192 0.7702 0.3363  1 As 1.77
F3 0.2337 0.7857 0.6672  1 As 1.77
F4 0.2992 0.3193 0.1007  1 H 0.97
F5 0.7008 0.6807 0.8993  1 H 0.97
F6 0.7663 0.2143 0.3328  1 As 1.77
F7 0.7808 0.2298 0.6637  1 As 1.77
F8 0.7954 0.7856 0.5576  1 H 1.62, 1 As 1.79


(6)
## LiAsH6O3F6 (GGA-PBE)

Data for a relaxed LiAsH6O3F6 crystal.

Output
total magnetization	0.00	μB per formula unit
DOS at the Fermi energy	0.00	states/eV/f.u.
total DFT energy (no corrections)	-4.7773	eV/atom

Cell lengths 8.5407, 8.5407, 5.5702 Å; angles 90.00, 90.00, 120.00 degrees
With the nearest neighbours (Å) after each atom.
Fractional positions:
Li1 0.0000 0.0000 0.0000  6 O 2.14
Li2 0.0000 0.0000 0.5000  6 O 2.14
As1 0.3333 0.6667 0.4004  6 F 1.77-1.78
As2 0.6667 0.3333 0.9004  6 F 1.77-1.78
H1 0.0596 0.3006 0.7402  1 O 0.98
H2 0.0596 0.7590 0.7402  1 O 0.98
H3 0.2410 0.3006 0.7402  1 O 0.98
H4 0.2410 0.9404 0.7402  1 O 0.98
H5 0.3006 0.0596 0.2402  1 O 0.98
H6 0.3006 0.2410 0.2402  1 O 0.98
H7 0.6994 0.7590 0.7402  1 O 0.98
H8 0.6994 0.9404 0.7402  1 O 0.98
H9 0.7590 0.0596 0.2402  1 O 0.98
H10 0.7590 0.6994 0.2402  1 O 0.98
H11 0.9404 0.2410 0.2402  1 O 0.98
H12 0.9404 0.6994 0.2402  1 O 0.98
O1 0.1102 0.2205 0.7500  2 H 0.98
O2 0.1102 0.8898 0.7500  2 H 0.98
O3 0.2205 0.1102 0.2500  2 H 0.98
O4 0.7795 0.8898 0.7500  2 H 0.98
O5 0.8898 0.1102 0.2500  2 H 0.98
O6 0.8898 0.7795 0.2500  2 H 0.98
F1 0.1372 0.5686 0.5860  1 As 1.78
F2 0.2349 0.4697 0.2191  1 As 1.77
F3 0.2349 0.7651 0.2191  1 As 1.77
F4 0.4314 0.5686 0.5860  1 As 1.78
F5 0.4314 0.8628 0.5860  1 As 1.78
F6 0.4697 0.2349 0.7191  1 As 1.77
F7 0.5303 0.7651 0.2191  1 As 1.77
F8 0.5686 0.1372 0.0860  1 As 1.78
F9 0.5686 0.4314 0.0860  1 As 1.78
F10 0.7651 0.2349 0.7191  1 As 1.77
F11 0.7651 0.5303 0.7191  1 As 1.77
F12 0.8628 0.4314 0.0860  1 As 1.78


> Which formula does entry 4 have?

InAsH2F


Repeat the second record exactly.
## AsH3F (GGA-PBE)

Data for a relaxed AsH3F crystal.

Output
total magnetization	0.00	μB per formula unit
DOS at the Fermi energy	1.49	states/eV/f.u.
total DFT energy (no corrections)	-2.4755	eV/atom

Cell lengths 3.4358, 3.4358, 3.4358 Å; angles 90.00, 90.00, 90.00 degrees
With the nearest neighbours (Å) after each atom.
Fractional positions:
As1 0.0000 0.0000 0.0000  12 H 2.43
H1 0.0000 0.5000 0.5000  2 F 1.72
H2 0.5000 0.0000 0.5000  2 F 1.72
H3 0.5000 0.5000 0.0000  2 F 1.72
F1 0.5000 0.5000 0.5000  6 H 1.72